# GdAuSO, optimized geometry, DFT PBE-GGA
# Space-group type: No. 129
# Relative energy among the computed polymorphs, eV per atom: 0.155
data_GdAuSO
_cell_length_a 3.9413
_cell_length_b 3.9413
_cell_length_c 8.9336
_cell_angle_alpha 90.00
_cell_angle_beta 90.00
_cell_angle_gamma 90.00
_space_group_name_H-M_alt 'P 1'
_space_group_IT_number 1
_space_group_name_Hall 'P 1'
loop_
_atom_site_label
_atom_site_fract_x
_atom_site_fract_y
_atom_site_fract_z
Au1 0.7500 0.2500 0.5000
Au2 0.2500 0.7500 0.5000
Gd1 0.2500 0.2500 0.1282
Gd2 0.7500 0.7500 0.8718
O1 0.7500 0.2500 0.0000
O2 0.2500 0.7500 0.0000
S1 0.7500 0.7500 0.2861
S2 0.2500 0.2500 0.7139

# GdAuSO, optimized geometry, DFT PBE-GGA
# Space-group type: No. 4
# Relative energy among the computed polymorphs, eV per atom: 0.000
data_GdAuSO
_cell_length_a 5.6961
_cell_length_b 5.6899
_cell_length_c 10.8328
_cell_angle_alpha 90.00
_cell_angle_beta 91.88
_cell_angle_gamma 90.00
_space_group_name_H-M_alt 'P 1'
_space_group_IT_number 1
_space_group_name_Hall 'P 1'
loop_
_atom_site_label
_atom_site_fract_x
_atom_site_fract_y
_atom_site_fract_z
Au1 0.9979 0.3412 0.2810
Au2 0.6879 0.5947 0.4969
Au3 0.3121 0.0947 0.5031
Au4 0.0021 0.8412 0.7190
Gd1 0.0058 0.8205 0.1006
Gd2 0.5055 0.3205 0.1008
Gd3 0.4945 0.8205 0.8992
Gd4 0.9942 0.3205 0.8994
O1 0.7485 0.0697 0.0002
O2 0.2487 0.0695 0.0013
O3 0.7513 0.5695 0.9987
O4 0.2515 0.5697 0.9998
S1 0.7038 0.6289 0.2845
S2 0.2903 0.0549 0.2904
S3 0.7097 0.5549 0.7096
S4 0.2962 0.1289 0.7155

# GdAuSO, optimized geometry, DFT PBE-GGA
# Space-group type: No. 54
# Relative energy among the computed polymorphs, eV per atom: 0.024
data_GdAuSO
_cell_length_a 5.6367
_cell_length_b 9.0870
_cell_length_c 5.6520
_cell_angle_alpha 90.00
_cell_angle_beta 90.00
_cell_angle_gamma 90.00
_space_group_name_H-M_alt 'P 1'
_space_group_IT_number 1
_space_group_name_Hall 'P 1'
loop_
_atom_site_label
_atom_site_fract_x
_atom_site_fract_y
_atom_site_fract_z
Au1 0.2500 0.5000 0.2437
Au2 0.7500 0.5000 0.2563
Au3 0.2500 0.5000 0.7437
Au4 0.7500 0.5000 0.7563
Gd1 0.5000 0.1235 0.2500
Gd2 0.0000 0.8765 0.2500
Gd3 0.0000 0.1235 0.7500
Gd4 0.5000 0.8765 0.7500
O1 0.2500 0.0000 0.0000
O2 0.7500 0.0000 0.0000
O3 0.7500 0.0000 0.4999
O4 0.2500 0.0000 0.5001
S1 0.0000 0.2844 0.2500
S2 0.5000 0.7156 0.2500
S3 0.5000 0.2844 0.7500
S4 0.0000 0.7156 0.7500

# GdAuSO, optimized geometry, DFT PBE-GGA
# Space-group type: No. 129
# Relative energy among the computed polymorphs, eV per atom: 0.154
data_GdAuSO
_cell_length_a 5.5508
_cell_length_b 5.5502
_cell_length_c 9.0724
_cell_angle_alpha 90.00
_cell_angle_beta 90.00
_cell_angle_gamma 90.00
_space_group_name_H-M_alt 'P 1'
_space_group_IT_number 1
_space_group_name_Hall 'P 1'
loop_
_atom_site_label
_atom_site_fract_x
_atom_site_fract_y
_atom_site_fract_z
Au1 0.0000 0.0000 0.5000
Au2 0.5000 0.0000 0.5000
Au3 0.0000 0.5000 0.5000
Au4 0.5000 0.5000 0.5000
Gd1 0.2502 0.2502 0.1269
Gd2 0.7498 0.7498 0.1269
Gd3 0.7498 0.2502 0.8731
Gd4 0.2502 0.7498 0.8731
O1 0.0000 0.0000 0.0000
O2 0.5000 0.0000 0.0000
O3 0.0000 0.5000 0.0000
O4 0.5000 0.5000 0.0000
S1 0.7498 0.2503 0.2868
S2 0.2502 0.7497 0.2868
S3 0.2502 0.2503 0.7132
S4 0.7498 0.7497 0.7132

# GdAuSO, optimized geometry, DFT PBE-GGA
# Space-group type: No. 14
# Relative energy among the computed polymorphs, eV per atom: 0.045
data_GdAuSO
_cell_length_a 8.4782
_cell_length_b 5.8351
_cell_length_c 5.7209
_cell_angle_alpha 90.00
_cell_angle_beta 90.62
_cell_angle_gamma 90.00
_space_group_name_H-M_alt 'P 1'
_space_group_IT_number 1
_space_group_name_Hall 'P 1'
loop_
_atom_site_label
_atom_site_fract_x
_atom_site_fract_y
_atom_site_fract_z
Au1 0.0030 0.7408 0.2443
Au2 0.9970 0.2408 0.2557
Au3 0.0030 0.7592 0.7443
Au4 0.9970 0.2592 0.7557
Gd1 0.3755 0.0042 0.2477
Gd2 0.6245 0.5042 0.2523
Gd3 0.3755 0.4958 0.7477
Gd4 0.6245 0.9958 0.7523
O1 0.5047 0.2502 0.0000
O2 0.4953 0.7498 0.0000
O3 0.5047 0.2498 0.4999
O4 0.4953 0.7502 0.5001
S1 0.7807 0.9871 0.2492
S2 0.2193 0.4871 0.2508
S3 0.7807 0.5129 0.7492
S4 0.2193 0.0129 0.7508

# GdAuSO, optimized geometry, DFT PBE-GGA
# Space-group type: No. 99
# Relative energy among the computed polymorphs, eV per atom: 0.154
data_GdAuSO
_cell_length_a 5.5492
_cell_length_b 5.5492
_cell_length_c 9.0740
_cell_angle_alpha 90.00
_cell_angle_beta 90.00
_cell_angle_gamma 90.00
_space_group_name_H-M_alt 'P 1'
_space_group_IT_number 1
_space_group_name_Hall 'P 1'
loop_
_atom_site_label
_atom_site_fract_x
_atom_site_fract_y
_atom_site_fract_z
Au1 0.2499 0.2499 0.4994
Au2 0.7501 0.2499 0.4994
Au3 0.2499 0.7501 0.4994
Au4 0.7501 0.7501 0.4994
Gd1 0.5000 0.5000 0.1272
Gd2 0.0000 0.0000 0.1273
Gd3 0.5000 0.0000 0.8735
Gd4 0.0000 0.5000 0.8735
O1 0.2500 0.2500 0.0003
O2 0.7500 0.2500 0.0003
O3 0.2500 0.7500 0.0003
O4 0.7500 0.7500 0.0003
S1 0.5000 0.0000 0.2864
S2 0.0000 0.5000 0.2864
S3 0.5000 0.5000 0.7131
S4 0.0000 0.0000 0.7135

# GdAuSO, optimized geometry, DFT PBE-GGA
# Space-group type: No. 57
# Relative energy among the computed polymorphs, eV per atom: 0.136
data_GdAuSO
_cell_length_a 9.2186
_cell_length_b 5.4707
_cell_length_c 5.6154
_cell_angle_alpha 90.00
_cell_angle_beta 90.00
_cell_angle_gamma 90.00
_space_group_name_H-M_alt 'P 1'
_space_group_IT_number 1
_space_group_name_Hall 'P 1'
loop_
_atom_site_label
_atom_site_fract_x
_atom_site_fract_y
_atom_site_fract_z
Au1 0.4433 0.2500 0.0000
Au2 0.5567 0.7500 0.0000
Au3 0.4433 0.2500 0.5000
Au4 0.5567 0.7500 0.5000
Gd1 0.1241 0.4947 0.2500
Gd2 0.8759 0.9947 0.2500
Gd3 0.1241 0.0053 0.7500
Gd4 0.8759 0.5053 0.7500
O1 0.9979 0.2500 0.0000
O2 0.0021 0.7500 0.0000
O3 0.9979 0.2500 0.5000
O4 0.0021 0.7500 0.5000
S1 0.7120 0.4748 0.2500
S2 0.2880 0.9748 0.2500
S3 0.7120 0.0252 0.7500
S4 0.2880 0.5252 0.7500

# GdAuSO, optimized geometry, DFT PBE-GGA
# Space-group type: No. 39
# Relative energy among the computed polymorphs, eV per atom: 0.024
data_GdAuSO
_cell_length_a 3.9898
_cell_length_b 3.9898
_cell_length_c 9.0656
_cell_angle_alpha 90.00
_cell_angle_beta 90.00
_cell_angle_gamma 90.10
_space_group_name_H-M_alt 'P 1'
_space_group_IT_number 1
_space_group_name_Hall 'P 1'
loop_
_atom_site_label
_atom_site_fract_x
_atom_site_fract_y
_atom_site_fract_z
Au1 0.8731 0.1269 0.5000
Au2 0.3731 0.6269 0.5000
Gd1 0.1221 0.3779 0.1240
Gd2 0.6221 0.8779 0.8760
O1 0.6221 0.3779 0.0000
O2 0.1221 0.8779 0.0000
S1 0.6230 0.8770 0.2842
S2 0.1230 0.3770 0.7158